1.
A plane-wave DFT calculation with GGA-PBE was carried out for a relaxed structure of MnHgBr2.

The total DFT energy (no corrections) is -3.6465 eV/atom. The calculation puts the relative energy among the computed polymorphs at 125 meV/atom. The energy relative to the elements, uncorrected is -0.442 eV per atom.

The structure belongs to space group Pm (No. 6); the cell edges are 5.7318, 3.7766 and 6.5852 Å and the angles 90.00°, 109.39° and 90.00°. The inequivalent atoms are Mn at (0.0000, 0.0000, 0.0000), Hg at (0.6977, 0.5000, 0.1511), Br at (0.0225, 0.5000, 0.7459) and Br at (0.3558, 0.0000, 0.3291).

2.
A plane-wave DFT calculation with GGA-PBE was carried out for a relaxed structure of Y3CuRe.

The total DFT energy (no corrections) is -6.6686 eV/atom. The calculation puts the relative energy among the computed polymorphs at 0 meV/atom. Its formation enthalpy at 0 K is 2.6 eV per formula unit.

The structure belongs to space group Pm-3m (No. 221); the cell edges are 5.3696, 5.3696 and 5.3696 Å and the angles 90.00°, 90.00° and 90.00°. The inequivalent atoms are Y at (0.0000, 0.0000, 0.5000), Cu at (0.5000, 0.5000, 0.5000) and Re at (0.0000, 0.0000, 0.0000).

3.
A plane-wave DFT calculation with GGA-PBE was carried out for a relaxed structure of CaLaAl.

The total DFT energy (no corrections) is -3.6468 eV/atom. The calculation puts the relative energy among the computed polymorphs at 191 meV/atom. Its formation enthalpy at 0 K is -0.3 eV per formula unit.

The structure belongs to space group P4/nmm (No. 129, origin choice 2); the cell edges are 5.1757, 5.1757 and 7.6611 Å and the angles 90.00°, 90.00° and 90.00°. The inequivalent atoms are Ca at (0.2500, 0.2500, 0.2148), La at (0.2500, 0.2500, 0.7065) and Al at (0.2500, 0.7500, 0.5000).

Question: Which formula does entry 1 have?
Answer: MnHgBr2

Question: The lowest total DFT energy (no corrections) belongs to which entry?
Answer: Y3CuRe

Repeat the third record exactly.
A plane-wave DFT calculation with GGA-PBE was carried out for a relaxed structure of CaLaAl.

The total DFT energy (no corrections) is -3.6468 eV/atom. The calculation puts the relative energy among the computed polymorphs at 191 meV/atom. Its formation enthalpy at 0 K is -0.3 eV per formula unit.

The structure belongs to space group P4/nmm (No. 129, origin choice 2); the cell edges are 5.1757, 5.1757 and 7.6611 Å and the angles 90.00°, 90.00° and 90.00°. The inequivalent atoms are Ca at (0.2500, 0.2500, 0.2148), La at (0.2500, 0.2500, 0.7065) and Al at (0.2500, 0.7500, 0.5000).